1.
Crystalline Mg2NbTlHg at its relaxed geometry. Source: Alexandria, functional GGA-PBEsol.

abc: 5.146 5.146 5.425
angles: 90.00 90.00 90.00
Fractional coordinates of all 5 atoms:
Mg1 0.000 0.500 0.000
Mg2 0.500 0.000 0.000
Nb1 0.000 0.000 0.500
Tl1 0.500 0.500 0.000
Hg1 0.500 0.500 0.500

Calculated values
- crystal system = tetragonal
- energy of formation from the pure elements (eV per atom) = 1.193

---

2.
Crystalline PrHoMg2 at its relaxed geometry. Source: Alexandria, functional GGA-PBEsol.

abc: 5.359 5.359 5.359
angles: 60.00 60.00 60.00
Fractional coordinates of all 4 atoms:
Pr1 0.000 0.000 0.000
Ho1 0.500 0.500 0.500
Mg1 0.250 0.250 0.250
Mg2 0.750 0.750 0.750

Calculated values
- crystal system = cubic
- energy of formation from the pure elements (eV per atom) = -0.087

---

3.
Crystalline AgBrO2 at its relaxed geometry. Source: Alexandria, functional GGA-PBEsol.

abc: 6.227 6.227 6.227
angles: 32.00 32.00 32.00
Fractional coordinates of all 4 atoms:
Ag1 0.000 0.000 0.000
Br1 0.500 0.500 0.500
O1 0.388 0.388 0.388
O2 0.612 0.612 0.612

Calculated values
- crystal system = trigonal
- E_form (uncorrected) (eV/atom) = 0.01

---

4.
Crystalline Sc2ZnPt at its relaxed geometry. Source: Alexandria, functional GGA-PBEsol.

abc: 5.495 5.495 5.495
angles: 143.99 132.60 60.94
Fractional coordinates of all 4 atoms:
Sc1 0.000 0.000 0.000
Sc2 0.723 0.223 0.500
Zn1 0.272 0.772 0.500
Pt1 0.492 0.492 0.000

Calculated values
- crystal system = orthorhombic
- energy of formation from the pure elements (eV per atom) = -0.671